DFT (PBE) results for a geometry-optimized CoAgSnIr structure.

```
CoAgSnIr
1.0
0.000 3.162 3.162
3.162 0.000 3.162
3.162 3.162 0.000
Ir Sn Co Ag
1 1 1 1
direct
0.250 0.250 0.250 Ir
0.000 0.000 0.000 Sn
0.750 0.750 0.750 Co
0.500 0.500 0.500 Ag
```

offset from the most stable computed form: 0 meV/atom
total energy: -0.2025 Ha/atom

DFT (PBE) results for a geometry-optimized Li2ZnIn2HgPd2 structure.

```
Li2ZnIn2HgPd2
1.0
4.574 0.000 0.000
0.000 4.574 0.000
0.000 0.000 6.519
Pd In Li Hg Zn
2 2 2 1 1
direct
0.500 0.000 0.730 Pd
0.000 0.500 0.270 Pd
0.000 0.000 0.500 In
0.500 0.500 0.000 In
0.500 0.000 0.258 Li
0.000 0.500 0.742 Li
0.000 0.000 0.000 Hg
0.500 0.500 0.500 Zn
```

total energy: -0.1131 Ha/atom

DFT (PBE) results for a geometry-optimized La2Co2SiGe structure.

```
La2Co2SiGe
1.0
4.119 0.000 0.000
0.000 4.119 0.000
0.000 0.000 7.129
Si La Co Ge
1 2 2 1
direct
0.500 0.500 0.164 Si
0.500 0.500 0.687 La
0.000 0.000 0.311 La
0.000 0.500 0.005 Co
0.500 0.000 0.005 Co
0.000 0.000 0.827 Ge
```

total energy: -0.2328 Ha/atom

DFT (PBE) results for a geometry-optimized TbTlZnS3 structure.

```
TbTlZnS3
1.0
11.236 0.000 0.000
0.000 4.112 0.000
0.000 0.000 11.983
S Zn Tl Tb
12 4 4 4
direct
0.954 0.750 0.677 S
0.397 0.250 0.440 S
0.897 0.250 0.060 S
0.046 0.250 0.323 S
0.454 0.750 0.823 S
0.279 0.750 0.200 S
0.546 0.250 0.177 S
0.103 0.750 0.940 S
0.603 0.750 0.560 S
0.721 0.250 0.800 S
0.221 0.250 0.700 S
0.779 0.750 0.300 S
0.752 0.250 0.201 Zn
0.248 0.750 0.799 Zn
0.252 0.250 0.299 Zn
0.748 0.750 0.701 Zn
0.839 0.250 0.492 Tl
0.161 0.750 0.508 Tl
0.661 0.750 0.992 Tl
0.339 0.250 0.008 Tl
0.477 0.250 0.669 Tb
0.023 0.750 0.169 Tb
0.523 0.750 0.331 Tb
0.977 0.250 0.831 Tb
```

offset from the most stable computed form: 46 meV/atom
total energy: -0.1697 Ha/atom

DFT (PBE) results for a geometry-optimized K2Nd2O5 structure.

```
K2Nd2O5
1.0
7.097 0.000 0.000
0.000 4.411 0.000
0.000 0.000 4.411
Nd O K
2 5 2
direct
0.000 0.000 0.000 Nd
0.500 0.000 0.000 Nd
0.218 0.000 0.500 O
0.782 0.000 0.500 O
0.500 0.500 0.500 O
0.782 0.500 0.000 O
0.218 0.500 0.000 O
0.815 0.500 0.500 K
0.185 0.500 0.500 K
```

offset from the most stable computed form: 919 meV/atom
total energy: -0.1912 Ha/atom

DFT (PBE) results for a geometry-optimized LuBeFe2 structure.

```
LuBeFe2
1.0
0.000 3.026 3.026
3.026 0.000 3.026
3.026 3.026 0.000
Be Lu Fe
1 1 2
direct
0.500 0.500 0.500 Be
0.250 0.250 0.250 Lu
0.750 0.750 0.750 Fe
0.000 0.000 0.000 Fe
```

total energy: -0.2217 Ha/atom